Entry 1:
DFT (GGA-PBE) results for an optimized crystal structure of Ge3Ir.

Cell and atoms, written as POSCAR:
```
Ge3Ir
1.0
-1.493 2.084 5.807
1.493 -2.084 5.807
1.493 2.084 -5.807
Ge Ir
3 1
direct
0.000 0.000 0.000 Ge
0.304 0.804 0.500 Ge
0.696 0.196 0.500 Ge
0.500 0.500 0.000 Ir
```

Output
Electronic total energy = -5.58 eV/atom
ΔE_f = 0.099 eV per atom
Symmetry = No. 71


Entry 2:
DFT (GGA-PBE) results for an optimized crystal structure of Ge4Ir.

Cell and atoms, written as POSCAR:
```
Ge4Ir
1.0
6.287 0.000 0.000
-3.144 5.445 0.000
0.000 0.000 7.890
Ge Ir
12 3
direct
0.000 0.081 0.167 Ge
0.000 0.618 0.167 Ge
0.081 0.000 0.833 Ge
0.221 0.484 0.948 Ge
0.263 0.779 0.615 Ge
0.382 0.382 0.500 Ge
0.484 0.221 0.052 Ge
0.516 0.737 0.281 Ge
0.618 0.000 0.833 Ge
0.737 0.516 0.719 Ge
0.779 0.263 0.385 Ge
0.919 0.919 0.500 Ge
0.000 0.316 0.667 Ir
0.316 0.000 0.333 Ir
0.684 0.684 0.000 Ir
```

Output
Electronic total energy = -5.64 eV/atom
ΔE_f = -0.175 eV per atom
Symmetry = No. 152


Entry 3:
DFT (GGA-PBE) results for an optimized crystal structure of GeIr5.

Cell and atoms, written as POSCAR:
```
GeIr5
1.0
1.955 -5.827 0.000
1.955 5.827 0.000
0.000 0.000 3.854
Ge Ir
1 5
direct
0.000 0.000 0.000 Ge
0.166 0.834 0.500 Ir
0.331 0.669 0.000 Ir
0.500 0.500 0.500 Ir
0.669 0.331 0.000 Ir
0.834 0.166 0.500 Ir
```

Output
Electronic total energy = -8.09 eV/atom
ΔE_f = 0.060 eV per atom
Symmetry = No. 65


Entry 4:
DFT (GGA-PBE) results for an optimized crystal structure of GeIr4.

Cell and atoms, written as POSCAR:
```
GeIr4
1.0
4.487 0.000 0.000
0.000 4.487 0.000
0.000 0.000 4.487
Ge Ir
1 4
direct
0.000 0.000 0.000 Ge
0.000 0.000 0.500 Ir
0.000 0.500 0.000 Ir
0.500 0.000 0.000 Ir
0.500 0.500 0.500 Ir
```

Output
Electronic total energy = -6.46 eV/atom
ΔE_f = 1.552 eV per atom
Symmetry = No. 221


Entry 5:
DFT (GGA-PBE) results for an optimized crystal structure of Ge4Ir.

Cell and atoms, written as POSCAR:
```
Ge4Ir
1.0
5.545 0.000 0.000
0.000 5.545 0.000
0.000 0.000 5.917
Ge Ir
8 2
direct
0.156 0.226 0.363 Ge
0.226 0.844 0.637 Ge
0.274 0.344 0.863 Ge
0.344 0.726 0.137 Ge
0.656 0.274 0.137 Ge
0.726 0.656 0.863 Ge
0.774 0.156 0.637 Ge
0.844 0.774 0.363 Ge
0.000 0.000 0.000 Ir
0.500 0.500 0.500 Ir
```

Output
Electronic total energy = -5.41 eV/atom
ΔE_f = 0.058 eV per atom
Symmetry = No. 114


Entry 6:
DFT (GGA-PBE) results for an optimized crystal structure of Ge3Ir.

Cell and atoms, written as POSCAR:
```
Ge3Ir
1.0
0.000 3.211 3.211
3.211 0.000 3.211
3.211 3.211 0.000
Ge Ir
3 1
direct
0.000 0.000 0.000 Ge
0.250 0.250 0.250 Ge
0.750 0.750 0.750 Ge
0.500 0.500 0.500 Ir
```

Output
Electronic total energy = -5.48 eV/atom
ΔE_f = 0.198 eV per atom
Symmetry = No. 225